RbLaNd: relaxed, PBE. Values from VASP.

```
&SYSTEM
  ibrav = 0, nat = 3, ntyp = 3
/
ATOMIC_SPECIES
Rb 85.47 Rb.upf
La 138.91 La.upf
Nd 144.24 Nd.upf
CELL_PARAMETERS angstrom
0.000 4.344 4.344
4.344 0.000 4.344
4.344 4.344 0.000
ATOMIC_POSITIONS angstrom
Rb 0.000 0.000 0.000
La 4.344 4.344 4.344
Nd 6.515 6.515 6.515
```

Values from the calculation:
total energy = -0.1784 Ry per atom

---

LaY: relaxed, PBE. Values from VASP.

```
&SYSTEM
  ibrav = 0, nat = 2, ntyp = 2
/
ATOMIC_SPECIES
La 138.91 La.upf
Y 88.91 Y.upf
CELL_PARAMETERS angstrom
0.000 3.280 3.280
3.280 0.000 3.280
3.280 3.280 0.000
ATOMIC_POSITIONS angstrom
La 0.000 0.000 0.000
Y 4.919 4.919 4.919
```

Values from the calculation:
E_form = 313 kJ/mol of formula units

---

Li4GaHgPd2: relaxed, PBE. Values from VASP.

```
&SYSTEM
  ibrav = 0, nat = 8, ntyp = 4
/
ATOMIC_SPECIES
Li 6.94 Li.upf
Ga 69.72 Ga.upf
Hg 200.59 Hg.upf
Pd 106.42 Pd.upf
CELL_PARAMETERS angstrom
4.403 0.000 0.000
0.000 4.403 0.000
0.000 0.000 6.283
ATOMIC_POSITIONS angstrom
Li 0.000 0.000 0.000
Li 0.000 2.202 1.526
Li 2.202 0.000 4.757
Li 2.202 2.202 3.141
Ga 2.202 2.202 0.000
Hg 0.000 0.000 3.141
Pd 0.000 2.202 4.900
Pd 2.202 0.000 1.383
```

Values from the calculation:
total energy = -0.2316 Ry per atom

---

NaCoAuS3: relaxed, PBE. Values from VASP.

```
&SYSTEM
  ibrav = 0, nat = 12, ntyp = 4
/
ATOMIC_SPECIES
Na 22.99 Na.upf
Co 58.93 Co.upf
Au 196.97 Au.upf
S 32.06 S.upf
CELL_PARAMETERS angstrom
1.659 -7.362 0.000
1.659 7.362 0.000
0.000 0.000 9.368
ATOMIC_POSITIONS angstrom
Na 1.659 4.346 7.026
Na 1.659 -4.346 2.342
Co 1.659 0.000 0.000
Co 1.659 0.000 4.684
Au 1.659 5.489 2.342
Au 1.659 -5.489 7.026
S 1.659 5.807 0.060
S 1.659 5.807 4.624
S 1.659 0.602 2.342
S 1.659 -0.602 7.026
S 1.659 -5.807 4.744
S 1.659 -5.807 9.308
```

Values from the calculation:
total energy = -0.3136 Ry per atom

---

MoS3: relaxed, PBE. Values from VASP.

```
&SYSTEM
  ibrav = 0, nat = 8, ntyp = 2
/
ATOMIC_SPECIES
Mo 95.94 Mo.upf
S 32.06 S.upf
CELL_PARAMETERS angstrom
6.221 0.000 0.000
0.000 6.221 0.000
0.000 0.000 3.071
ATOMIC_POSITIONS angstrom
Mo 1.555 4.665 0.000
Mo 4.665 1.555 0.000
S 0.000 0.000 1.536
S 0.000 3.110 1.536
S 1.555 1.555 0.797
S 3.110 0.000 1.536
S 3.110 3.110 1.536
S 4.665 4.665 2.274
```

Values from the calculation:
total energy = -0.3930 Ry per atom

---

Li3Au: relaxed, PBE. Values from VASP.

```
&SYSTEM
  ibrav = 0, nat = 4, ntyp = 2
/
ATOMIC_SPECIES
Li 6.94 Li.upf
Au 196.97 Au.upf
CELL_PARAMETERS angstrom
-2.194 2.194 3.097
2.194 -2.194 3.097
2.194 2.194 -3.097
ATOMIC_POSITIONS angstrom
Li 0.000 0.000 0.000
Li 2.194 0.000 1.548
Li 0.000 2.194 1.548
Au 0.000 0.000 3.097
```

Values from the calculation:
total energy = -0.1948 Ry per atom

---

YEr2As3: relaxed, PBE. Values from VASP.

```
&SYSTEM
  ibrav = 0, nat = 6, ntyp = 3
/
ATOMIC_SPECIES
Y 88.91 Y.upf
Er 167.26 Er.upf
As 74.92 As.upf
CELL_PARAMETERS angstrom
4.091 0.000 0.000
-2.046 3.543 0.000
0.000 0.000 10.006
ATOMIC_POSITIONS angstrom
Y 0.000 0.000 0.000
Er 0.000 2.362 3.340
Er 2.046 1.181 6.666
As 0.000 0.000 5.003
As 0.000 2.362 8.314
As 2.046 1.181 1.692
```

Values from the calculation:
total energy = -0.4744 Ry per atom

---

Li2TaNbAl2Fe2: relaxed, PBE. Values from VASP.

```
&SYSTEM
  ibrav = 0, nat = 8, ntyp = 5
/
ATOMIC_SPECIES
Li 6.94 Li.upf
Ta 180.95 Ta.upf
Nb 92.91 Nb.upf
Al 26.98 Al.upf
Fe 55.84 Fe.upf
CELL_PARAMETERS angstrom
4.213 0.000 0.000
0.000 4.213 0.000
0.000 0.000 5.958
ATOMIC_POSITIONS angstrom
Li 0.000 2.107 1.491
Li 2.107 0.000 4.467
Ta 0.000 0.000 0.000
Nb 2.107 2.107 2.979
Al 0.000 0.000 2.979
Al 2.107 2.107 0.000
Fe 0.000 2.107 4.472
Fe 2.107 0.000 1.486
```

Values from the calculation:
total energy = -0.4721 Ry per atom

---

TePd14: relaxed, PBE. Values from VASP.

```
&SYSTEM
  ibrav = 0, nat = 30, ntyp = 2
/
ATOMIC_SPECIES
Te 127.60 Te.upf
Pd 106.42 Pd.upf
CELL_PARAMETERS angstrom
11.285 0.000 0.000
0.000 2.848 0.000
-0.136 0.000 22.760
ATOMIC_POSITIONS angstrom
Te 0.213 0.712 4.527
Te 10.936 2.136 18.232
Pd 0.497 2.136 6.865
Pd 0.798 0.712 9.254
Pd 1.086 2.136 11.650
Pd 1.384 0.712 14.042
Pd 1.722 2.136 16.530
Pd 2.534 2.136 4.925
Pd 2.842 0.712 7.376
Pd 3.117 2.136 9.763
Pd 3.401 0.712 12.145
Pd 3.673 2.136 14.533
Pd 4.020 0.712 16.911
Pd 4.833 0.712 5.450
Pd 5.156 2.136 7.840
Pd 5.430 0.712 10.203
Pd 5.718 2.136 12.557
Pd 5.993 0.712 14.919
Pd 6.316 2.136 17.310
Pd 7.129 2.136 5.848
Pd 7.475 0.712 8.227
Pd 7.748 2.136 10.615
Pd 8.032 0.712 12.997
Pd 8.307 2.136 15.384
Pd 8.614 0.712 17.835
Pd 9.427 0.712 6.230
Pd 9.765 2.136 8.718
Pd 10.063 0.712 11.110
Pd 10.351 2.136 13.506
Pd 10.652 0.712 15.895
```

Values from the calculation:
total energy = -0.3644 Ry per atom

---

LuScZn2: relaxed, PBE. Values from VASP.

```
&SYSTEM
  ibrav = 0, nat = 4, ntyp = 3
/
ATOMIC_SPECIES
Lu 174.97 Lu.upf
Sc 44.96 Sc.upf
Zn 65.41 Zn.upf
CELL_PARAMETERS angstrom
0.000 3.426 3.426
3.426 0.000 3.426
3.426 3.426 0.000
ATOMIC_POSITIONS angstrom
Lu 0.000 0.000 0.000
Sc 5.139 5.139 5.139
Zn 1.713 1.713 1.713
Zn 3.426 3.426 3.426
```

Values from the calculation:
E_form = 16 kJ/mol of formula units

---

HfTlAuSe3: relaxed, PBE. Values from VASP.

```
&SYSTEM
  ibrav = 0, nat = 24, ntyp = 4
/
ATOMIC_SPECIES
Hf 178.49 Hf.upf
Tl 204.38 Tl.upf
Au 196.97 Au.upf
Se 78.96 Se.upf
CELL_PARAMETERS angstrom
11.988 0.000 0.000
0.000 3.910 0.000
0.000 0.000 13.001
ATOMIC_POSITIONS angstrom
Hf 0.609 0.977 2.048
Hf 5.385 2.932 8.548
Hf 6.603 0.977 4.453
Hf 11.379 2.932 10.953
Tl 1.792 0.977 6.476
Tl 4.202 2.932 12.976
Tl 7.785 0.977 0.025
Tl 10.196 2.932 6.525
Au 2.877 2.932 4.253
Au 3.117 0.977 10.753
Au 8.871 2.932 2.248
Au 9.111 0.977 8.748
Se 0.327 2.932 3.888
Se 0.984 0.977 12.144
Se 2.881 2.932 8.595
Se 3.113 0.977 2.095
Se 5.009 2.932 5.644
Se 5.667 0.977 10.389
Se 6.321 2.932 2.612
Se 6.978 0.977 7.357
Se 8.875 2.932 10.906
Se 9.107 0.977 4.406
Se 11.003 2.932 0.857
Se 11.660 0.977 9.113
```

Values from the calculation:
total energy = -0.3681 Ry per atom

---

Tb2TmCoSn3Ir2: relaxed, PBE. Values from VASP.

```
&SYSTEM
  ibrav = 0, nat = 9, ntyp = 5
/
ATOMIC_SPECIES
Tb 158.93 Tb.upf
Tm 168.93 Tm.upf
Co 58.93 Co.upf
Sn 118.71 Sn.upf
Ir 192.22 Ir.upf
CELL_PARAMETERS angstrom
3.781 0.000 0.000
0.000 6.503 3.775
0.000 -6.503 3.775
ATOMIC_POSITIONS angstrom
Tb 0.000 -3.860 3.775
Tb 0.000 3.860 3.775
Tm 0.000 0.000 2.952
Co 0.000 0.000 6.003
Sn 1.891 0.000 0.379
Sn 1.891 -1.637 5.056
Sn 1.891 1.637 5.056
Ir 1.891 -2.139 2.248
Ir 1.891 2.139 2.248
```

Values from the calculation:
total energy = -0.4677 Ry per atom

---

Er2Be: relaxed, PBE. Values from VASP.

```
&SYSTEM
  ibrav = 0, nat = 6, ntyp = 2
/
ATOMIC_SPECIES
Er 167.26 Er.upf
Be 9.01 Be.upf
CELL_PARAMETERS angstrom
0.000 4.270 4.270
4.270 0.000 4.270
4.270 4.270 0.000
ATOMIC_POSITIONS angstrom
Er 0.000 0.000 0.000
Er 2.135 2.135 0.000
Er 2.135 0.000 2.135
Er 0.000 2.135 2.135
Be 3.203 3.203 3.203
Be 5.338 5.338 5.338
```

Values from the calculation:
total energy = -0.2435 Ry per atom

---

CsHoSn: relaxed, PBE. Values from VASP.

```
&SYSTEM
  ibrav = 0, nat = 3, ntyp = 3
/
ATOMIC_SPECIES
Cs 132.91 Cs.upf
Ho 164.93 Ho.upf
Sn 118.71 Sn.upf
CELL_PARAMETERS angstrom
0.000 3.876 3.876
3.876 0.000 3.876
3.876 3.876 0.000
ATOMIC_POSITIONS angstrom
Cs 0.000 0.000 0.000
Ho 1.938 1.938 1.938
Sn 5.814 5.814 5.814
```

Values from the calculation:
total energy = -0.1715 Ry per atom

---

UGaFe: relaxed, PBE. Values from VASP.

```
&SYSTEM
  ibrav = 0, nat = 3, ntyp = 3
/
ATOMIC_SPECIES
U 238.03 U.upf
Ga 69.72 Ga.upf
Fe 55.84 Fe.upf
CELL_PARAMETERS angstrom
0.000 3.136 3.136
3.136 0.000 3.136
3.136 3.136 0.000
ATOMIC_POSITIONS angstrom
U 0.000 0.000 0.000
Ga 1.568 1.568 1.568
Fe 4.704 4.704 4.704
```

Values from the calculation:
total energy = -0.4891 Ry per atom

---

RbMgTaPd: relaxed, PBE. Values from VASP.

```
&SYSTEM
  ibrav = 0, nat = 4, ntyp = 4
/
ATOMIC_SPECIES
Rb 85.47 Rb.upf
Mg 24.30 Mg.upf
Ta 180.95 Ta.upf
Pd 106.42 Pd.upf
CELL_PARAMETERS angstrom
0.000 3.449 3.449
3.449 0.000 3.449
3.449 3.449 0.000
ATOMIC_POSITIONS angstrom
Rb 0.000 0.000 0.000
Mg 5.174 5.174 5.174
Ta 1.725 1.725 1.725
Pd 3.449 3.449 3.449
```

Values from the calculation:
total energy = -0.2887 Ry per atom

---

ReSiTcNi: relaxed, PBE. Values from VASP.

```
&SYSTEM
  ibrav = 0, nat = 4, ntyp = 4
/
ATOMIC_SPECIES
Re 186.21 Re.upf
Si 28.09 Si.upf
Tc 98.00 Tc.upf
Ni 58.69 Ni.upf
CELL_PARAMETERS angstrom
0.000 2.981 2.981
2.981 0.000 2.981
2.981 2.981 0.000
ATOMIC_POSITIONS angstrom
Re 0.000 0.000 0.000
Si 2.981 2.981 2.981
Tc 1.490 1.490 1.490
Ni 4.471 4.471 4.471
```

Values from the calculation:
total energy = -0.6196 Ry per atom

---

NaAcPt: relaxed, PBE. Values from VASP.

```
&SYSTEM
  ibrav = 0, nat = 3, ntyp = 3
/
ATOMIC_SPECIES
Na 22.99 Na.upf
Ac 227.00 Ac.upf
Pt 195.08 Pt.upf
CELL_PARAMETERS angstrom
0.000 3.439 3.439
3.439 0.000 3.439
3.439 3.439 0.000
ATOMIC_POSITIONS angstrom
Na 0.000 0.000 0.000
Ac 5.159 5.159 5.159
Pt 1.720 1.720 1.720
```

Values from the calculation:
total energy = -0.2849 Ry per atom

---

PmTaN2O: relaxed, PBE. Values from VASP.

```
&SYSTEM
  ibrav = 0, nat = 30, ntyp = 4
/
ATOMIC_SPECIES
Pm 145.00 Pm.upf
Ta 180.95 Ta.upf
N 14.01 N.upf
O 16.00 O.upf
CELL_PARAMETERS angstrom
5.718 0.000 0.000
-2.859 4.952 0.000
0.000 0.000 14.195
ATOMIC_POSITIONS angstrom
Pm 0.000 0.000 3.549
Pm 0.000 0.000 10.646
Pm 0.000 3.301 1.616
Pm 0.000 3.301 5.482
Pm 2.859 1.651 8.713
Pm 2.859 1.651 12.579
Ta 0.000 0.000 0.000
Ta 0.000 0.000 7.097
Ta 0.000 3.301 9.178
Ta 0.000 3.301 12.114
Ta 2.859 1.651 2.081
Ta 2.859 1.651 5.016
N 0.000 1.586 8.366
N 0.000 1.586 12.927
N -1.486 4.159 8.366
N -1.486 4.159 12.927
N 1.373 0.793 1.268
N 1.373 0.793 5.829
N 1.486 4.159 8.366
N 1.486 4.159 12.927
N 4.345 0.793 1.268
N 4.345 0.793 5.829
N 2.859 3.366 1.268
N 2.859 3.366 5.829
O -1.398 2.494 3.549
O 1.398 2.494 3.549
O 0.000 4.915 3.549
O 2.859 0.037 10.646
O 1.461 2.457 10.646
O 4.256 2.457 10.646
```

Values from the calculation:
total energy = -0.6884 Ry per atom

---

Tm2InNi2: relaxed, PBE. Values from VASP.

```
&SYSTEM
  ibrav = 0, nat = 5, ntyp = 3
/
ATOMIC_SPECIES
Tm 168.93 Tm.upf
In 114.82 In.upf
Ni 58.69 Ni.upf
CELL_PARAMETERS angstrom
1.935 -7.045 0.000
1.935 7.045 0.000
0.000 0.000 3.599
ATOMIC_POSITIONS angstrom
Tm 1.935 5.090 0.000
Tm 1.935 -5.090 0.000
In 1.935 0.000 1.800
Ni 1.935 2.793 1.800
Ni 1.935 -2.793 1.800
```

Values from the calculation:
total energy = -0.3766 Ry per atom

---

Al11Co4: relaxed, PBE. Values from VASP.

```
&SYSTEM
  ibrav = 0, nat = 30, ntyp = 2
/
ATOMIC_SPECIES
Al 26.98 Al.upf
Co 58.93 Co.upf
CELL_PARAMETERS angstrom
9.042 0.000 0.000
0.000 9.042 0.000
0.000 0.000 5.122
ATOMIC_POSITIONS angstrom
Al 0.000 0.000 0.000
Al 0.429 3.277 2.561
Al 0.664 2.428 0.000
Al 0.851 0.851 2.561
Al 1.244 4.950 0.000
Al 2.093 5.185 2.561
Al 2.428 0.664 0.000
Al 3.277 0.429 2.561
Al 3.670 5.372 0.000
Al 3.857 6.950 2.561
Al 4.092 7.798 0.000
Al 4.521 4.521 2.561
Al 4.950 1.244 0.000
Al 5.185 2.093 2.561
Al 5.372 3.670 0.000
Al 5.765 8.613 2.561
Al 6.614 8.378 0.000
Al 6.950 3.857 2.561
Al 7.798 4.092 0.000
Al 8.191 8.191 2.561
Al 8.378 6.614 0.000
Al 8.613 5.765 2.561
Co 1.562 7.480 1.295
Co 1.562 7.480 3.826
Co 2.959 2.959 1.265
Co 2.959 2.959 3.856
Co 6.083 6.083 1.265
Co 6.083 6.083 3.856
Co 7.480 1.562 1.295
Co 7.480 1.562 3.826
```

Values from the calculation:
total energy = -0.3426 Ry per atom

---

PuScNi: relaxed, PBE. Values from VASP.

```
&SYSTEM
  ibrav = 0, nat = 3, ntyp = 3
/
ATOMIC_SPECIES
Pu 244.00 Pu.upf
Sc 44.96 Sc.upf
Ni 58.69 Ni.upf
CELL_PARAMETERS angstrom
0.000 3.057 3.057
3.057 0.000 3.057
3.057 3.057 0.000
ATOMIC_POSITIONS angstrom
Pu 0.000 0.000 0.000
Sc 1.529 1.529 1.529
Ni 4.586 4.586 4.586
```

Values from the calculation:
E_form = 161 kJ/mol of formula units

---

Nd3Ni2B2As3: relaxed, PBE. Values from VASP.

```
&SYSTEM
  ibrav = 0, nat = 10, ntyp = 4
/
ATOMIC_SPECIES
Nd 144.24 Nd.upf
Ni 58.69 Ni.upf
B 10.81 B.upf
As 74.92 As.upf
CELL_PARAMETERS angstrom
-2.069 2.069 11.129
2.069 -2.069 11.129
2.069 2.069 -11.129
ATOMIC_POSITIONS angstrom
Nd 0.000 0.000 0.000
Nd 0.000 0.000 7.944
Nd 0.000 0.000 14.314
Ni 2.069 0.000 5.564
Ni 0.000 2.069 5.564
B 0.000 0.000 4.998
B 0.000 0.000 17.259
As 0.000 0.000 2.915
As 0.000 0.000 11.129
As 0.000 0.000 19.342
```

Values from the calculation:
total energy = -0.4442 Ry per atom